1.
Material: KPt2Rh
Method: DFT, GGA-PBE
State: optimized geometry

a b c (Å): 2.8411 2.8411 9.0690
angles (deg): 90.00 90.00 90.00
Element x y z (fractional)
K1 0.0000 0.0000 0.0000
Pt1 0.5000 0.5000 0.2972
Pt2 0.5000 0.5000 0.7028
Rh1 0.0000 0.0000 0.5000

Summary:
The formation energy comes out at 163 meV per atom. Its crystal system is tetragonal. As for the density of states at the Fermi level: 5.10 states/eV per cell. The raw total energy comes out at -19.88 eV/f.u. As for the symmetry: No. 123.

2.
Material: K2PtRh
Method: DFT, GGA-PBE
State: optimized geometry

a b c (Å): 5.0652 5.0652 5.0652
angles (deg): 120.09 120.09 89.85
Element x y z (fractional)
K1 0.0000 0.0000 0.0000
K2 0.7500 0.2500 0.5000
Pt1 0.2500 0.7500 0.5000
Rh1 0.5000 0.5000 0.0000

Summary:
The formation energy comes out at 608 meV per atom. Its crystal system is tetragonal. As for the density of states at the Fermi level: 6.50 states/eV per cell. The raw total energy comes out at -13.15 eV/f.u. As for the symmetry: No. 119. As for the distance to the lowest polymorph of the same formula: 0.419 eV per atom.

Among the records above, which one has the highest raw total energy? K2PtRh